A plane-wave DFT calculation with GGA-PBE was carried out for a relaxed GeSb2Pd3 crystal.

Values from the calculation:
- ΔE_f (raw): -299.7 meV per atom
- DFT total energy: -5.040 eV/atom
- V: 19.46 Å³/atom
- DOS(E_F): 3.888 states/eV per cell

Geometry as extended XYZ:
```
12
Lattice="3.012 -6.082 0.000 3.012 6.082 0.000 -2.762 0.000 6.374" Properties=species:S:1:pos:R:3 pbc="T T T"
Ge 0.941 4.865 4.781
Ge 2.322 -4.865 1.594
Sb 2.322 2.625 1.594
Sb 0.941 0.828 4.781
Sb 2.322 -0.828 1.594
Sb 0.941 -2.625 4.781
Pd 0.125 3.041 3.187
Pd -1.674 0.956 6.136
Pd -0.293 -0.956 2.949
Pd 1.506 -3.041 0.000
Pd 3.556 0.956 3.426
Pd 4.937 -0.956 0.239
```